No. 1
DyTmInGa | PBE | optimized geometry

Cell lengths 3.5272, 3.5272, 7.8066 Å; angles 90.00, 90.00, 90.00 degrees
Closest atoms and distances in Å follow each position.
Fractional coordinates of all 4 atoms:
Dy: 0.5000 0.5000 0.1240  4 Ga 3.10, 4 In 3.27
Tm: 0.5000 0.5000 0.5901  4 Ga 3.07, 4 In 3.23
In: 0.0000 0.0000 0.8533  4 Tm 3.23, 4 Dy 3.27, 4 In 3.53
Ga: 0.0000 0.0000 0.3606  4 Tm 3.07, 4 Dy 3.10

Values from the calculation:
Its raw total energy is -4.215 eV/atom. The calculation puts the formation energy at -0.51 eV per atom. As for the offset from the most stable computed form: 0.0000 eV/atom.

***

No. 2
Sm2TmCu2 | PBE | optimized geometry

Cell lengths 4.6460, 6.3046, 9.1425 Å; angles 81.31, 75.28, 68.38 degrees
Closest atoms and distances in Å follow each position.
Fractional coordinates of all 10 atoms:
Sm: 0.3198 0.2690 0.0915  4 Cu 2.88-3.20
Sm: 0.4636 0.3811 0.6916  6 Cu 3.06-3.32, 3 Tm 3.40-3.42
Sm: 0.6802 0.7310 0.9085  4 Cu 2.88-3.20
Sm: 0.5364 0.6189 0.3084  6 Cu 3.06-3.32, 3 Tm 3.40-3.42
Tm: 0.8038 0.0380 0.3544  4 Cu 2.74-2.95
Tm: 0.1962 0.9620 0.6456  4 Cu 2.74-2.95
Cu: 0.9518 0.1849 0.9114  1 Cu 2.59, 1 Tm 2.76, 2 Sm 2.88
Cu: 0.1254 0.3196 0.4296  1 Cu 2.52, 1 Tm 2.74
Cu: 0.0482 0.8151 0.0886  1 Cu 2.59, 1 Tm 2.76, 2 Sm 2.88
Cu: 0.8746 0.6804 0.5704  1 Cu 2.52, 1 Tm 2.74

Values from the calculation:
Its raw total energy is -4.545 eV/atom. The calculation puts the formation energy at -0.12 eV per atom. As for the offset from the most stable computed form: 0.0168 eV/atom.

***

No. 3
NdEuYLu | PBE | optimized geometry

Cell lengths 5.7773, 5.7773, 5.7773 Å; angles 60.00, 60.00, 60.00 degrees
Closest atoms and distances in Å follow each position.
Fractional coordinates of all 4 atoms:
Eu: 0.5000 0.5000 0.5000  4 Nd 3.54, 4 Y 3.54
Y: 0.7500 0.7500 0.7500  4 Lu 3.54, 4 Eu 3.54
Lu: 0.0000 0.0000 0.0000  4 Y 3.54, 4 Nd 3.54
Nd: 0.2500 0.2500 0.2500  4 Eu 3.54, 4 Lu 3.54

Values from the calculation:
Its raw total energy is -6.364 eV/atom. The calculation puts the formation energy at 0.14 eV per atom.

***

No. 4
Pm2YEr6Tm | PBE | optimized geometry

Cell lengths 9.5820, 8.7302, 8.7302 Å; angles 118.29, 94.37, 94.37 degrees
Closest atoms and distances in Å follow each position.
Fractional coordinates of all 20 atoms:
Pm: 0.4567 0.8047 0.6980  6 Er 3.23-3.62, 2 Y 3.36-3.37, 1 Tm 3.53
Pm: 0.0433 0.3020 0.1953  6 Er 3.23-3.62, 2 Y 3.36-3.37, 1 Tm 3.53
Pm: 0.5433 0.1953 0.3020  6 Er 3.23-3.62, 2 Y 3.36-3.37, 1 Tm 3.53
Pm: 0.9567 0.6980 0.8047  6 Er 3.23-3.62, 2 Y 3.36-3.37, 1 Tm 3.53
Y: 0.2500 0.9809 0.0191  4 Pm 3.36-3.37, 4 Er 3.57-3.65
Y: 0.7500 0.0191 0.9809  4 Pm 3.36-3.37, 4 Er 3.57-3.65
Er: 0.0572 0.1274 0.7459  7 Er 3.37-3.70, 1 Pm 3.49, 1 Y 3.65, 1 Tm 3.74
Er: 0.4428 0.2541 0.8726  7 Er 3.37-3.70, 1 Pm 3.49, 1 Y 3.65, 1 Tm 3.74
Er: 0.9428 0.8726 0.2541  7 Er 3.37-3.70, 1 Pm 3.49, 1 Y 3.65, 1 Tm 3.74
Er: 0.5572 0.7459 0.1274  7 Er 3.37-3.70, 1 Pm 3.49, 1 Y 3.65, 1 Tm 3.74
Er: 0.3130 0.9788 0.4261  2 Er 3.21-3.53, 1 Pm 3.36, 1 Tm 3.44, 1 Y 3.57
Er: 0.1870 0.5739 0.0212  2 Er 3.21-3.53, 1 Pm 3.36, 1 Tm 3.44, 1 Y 3.57
Er: 0.6870 0.0212 0.5739  2 Er 3.21-3.53, 1 Pm 3.36, 1 Tm 3.44, 1 Y 3.57
Er: 0.8130 0.4261 0.9788  2 Er 3.21-3.53, 1 Pm 3.36, 1 Tm 3.44, 1 Y 3.57
Er: 0.1188 0.7095 0.4981  4 Er 3.21-3.48, 3 Pm 3.23-3.40, 2 Tm 3.41-3.52
Er: 0.3812 0.5019 0.2905  4 Er 3.21-3.48, 3 Pm 3.23-3.40, 2 Tm 3.41-3.52
Er: 0.8812 0.2905 0.5019  4 Er 3.21-3.48, 3 Pm 3.23-3.40, 2 Tm 3.41-3.52
Er: 0.6188 0.4981 0.7095  4 Er 3.21-3.48, 3 Pm 3.23-3.40, 2 Tm 3.41-3.52
Tm: 0.2500 0.4076 0.5924  8 Er 3.41-3.74, 2 Pm 3.53
Tm: 0.7500 0.5924 0.4076  8 Er 3.41-3.74, 2 Pm 3.53

Values from the calculation:
Its raw total energy is -4.667 eV/atom. The calculation puts the formation energy at 0.11 eV per atom.

***

No. 5
PaTl2PO6 | PBE | optimized geometry

Cell lengths 5.6741, 5.6740, 5.6741 Å; angles 59.99, 60.00, 90.00 degrees
Closest atoms and distances in Å follow each position.
Fractional coordinates of all 10 atoms:
Pa: 0.0000 0.0000 0.0000  6 O 2.25
Tl: 0.7500 0.2500 0.5000  12 O 2.85
Tl: 0.2500 0.7500 0.5000  12 O 2.85
P: 0.5000 0.5000 0.0000  6 O 1.77
O: 0.2799 0.2798 0.4403  1 P 1.77
O: 0.7200 0.7200 0.9999  1 P 1.77
O: 0.2799 0.7201 0.0000  1 P 1.77
O: 0.7201 0.2799 0.0000  1 P 1.77
O: 0.2800 0.2800 0.0001  1 P 1.77
O: 0.7201 0.7202 0.5597  1 P 1.77

Values from the calculation:
Its raw total energy is -6.885 eV/atom. For the formation energy without anion corrections, the calculation gives -19.5 eV per formula unit.

***

No. 6
Sr2YTc | PBE | optimized geometry

Cell lengths 3.5512, 3.5512, 10.2896 Å; angles 90.00, 90.00, 90.08 degrees
Closest atoms and distances in Å follow each position.
Fractional coordinates of all 4 atoms:
Sr: 0.0000 0.0000 0.0542  4 Tc 3.22, 4 Sr 3.55
Sr: 0.0000 0.0000 0.4458  4 Tc 3.22, 4 Sr 3.55
Tc: 0.5000 0.5000 0.2500  8 Sr 3.22, 4 Tc 3.55
Y: 0.5000 0.5000 0.7500  4 Y 3.55

Values from the calculation:
Its raw total energy is -4.328 eV/atom. The calculation puts the formation energy at 0.72 eV per atom. As for the offset from the most stable computed form: 0.4027 eV/atom.

***

No. 7
Li2Cu3F9 | PBE | optimized geometry

Cell lengths 7.9413, 7.5373, 5.9017 Å; angles 101.59, 95.72, 106.44 degrees
Closest atoms and distances in Å follow each position.
Fractional coordinates of all 28 atoms:
Li: 0.1765 0.5517 0.9135  5 F 2.01-2.15
Li: 0.0330 0.2084 0.0866  4 F 1.88-2.05
Li: 0.9670 0.7916 0.9134  4 F 1.88-2.05
Li: 0.8235 0.4483 0.0865  5 F 2.01-2.15
Cu: 0.0389 0.8156 0.4508  4 F 1.87-2.00
Cu: 0.4998 0.9927 0.7510  6 F 1.91-2.10
Cu: 0.5054 0.4919 0.7472  4 F 1.82-1.85
Cu: 0.4946 0.5081 0.2528  4 F 1.82-1.85
Cu: 0.5002 0.0073 0.2490  6 F 1.91-2.10
Cu: 0.9611 0.1844 0.5492  4 F 1.87-2.00
F: 0.0749 0.6759 0.6697  1 Cu 1.87, 2 Li 1.93-2.08
F: 0.0503 0.6697 0.1512  1 Cu 1.91, 3 Li 1.98-2.02
F: 0.9998 0.0039 0.2762  2 Cu 1.99-2.00, 1 Li 2.05
F: 0.3300 0.9640 0.9748  2 Cu 1.91-1.98
F: 0.3306 0.9605 0.4749  2 Cu 1.93-2.00
F: 0.2632 0.3820 0.6726  1 Cu 1.83, 1 Li 2.02
F: 0.2572 0.3947 0.1481  1 Cu 1.82, 1 Li 1.88
F: 0.4806 0.7049 0.6569  1 Cu 1.84
F: 0.4627 0.7135 0.1478  1 Cu 1.85
F: 0.5373 0.2865 0.8522  1 Cu 1.85
F: 0.5194 0.2951 0.3431  1 Cu 1.84
F: 0.7428 0.6053 0.8519  1 Cu 1.82, 1 Li 1.88
F: 0.7368 0.6180 0.3274  1 Cu 1.83, 1 Li 2.02
F: 0.6694 0.0395 0.5251  2 Cu 1.93-2.00
F: 0.6700 0.0360 0.0252  2 Cu 1.91-1.98
F: 0.0002 0.9961 0.7238  2 Cu 1.99-2.00, 1 Li 2.05
F: 0.9497 0.3303 0.8488  1 Cu 1.91, 3 Li 1.98-2.02
F: 0.9251 0.3241 0.3303  1 Cu 1.87, 2 Li 1.93-2.08

Values from the calculation:
Its raw total energy is -4.214 eV/atom. For the formation energy without anion corrections, the calculation gives -26.0 eV per formula unit.

***

No. 8
LaTiMnS2 | PBE | optimized geometry

Cell lengths 4.7652, 4.2649, 4.7652 Å; angles 90.00, 90.00, 90.00 degrees
Closest atoms and distances in Å follow each position.
Fractional coordinates of all 5 atoms:
S: 0.0000 0.0000 0.5000  2 Mn 2.38
S: 0.5000 0.0000 0.0000  2 Mn 2.38
Mn: 0.0000 0.0000 0.0000  2 Ti 2.13, 4 S 2.38
Ti: 0.0000 0.5000 0.0000  2 Mn 2.13
La: 0.5000 0.5000 0.5000  8 S 3.20, 4 Ti 3.37

Values from the calculation:
Its raw total energy is -6.577 eV/atom. For the formation energy without anion corrections, the calculation gives -2.6 eV per formula unit.

***

No. 9
TmPaAgPb | PBE | optimized geometry

Cell lengths 5.2833, 5.2833, 5.2833 Å; angles 60.00, 60.00, 60.00 degrees
Closest atoms and distances in Å follow each position.
Fractional coordinates of all 4 atoms:
Pb: 0.7500 0.7500 0.7500  4 Pa 3.24, 4 Tm 3.24
Pa: 0.0000 0.0000 0.0000  4 Pb 3.24, 4 Ag 3.24
Tm: 0.5000 0.5000 0.5000  4 Pb 3.24, 4 Ag 3.24
Ag: 0.2500 0.2500 0.2500  4 Pa 3.24, 4 Tm 3.24

Values from the calculation:
Its raw total energy is -5.084 eV/atom. The calculation puts the formation energy at 0.05 eV per atom.

***

No. 10
B5C7 | PBE | optimized geometry

Cell lengths 5.9317, 5.9317, 3.9061 Å; angles 90.00, 90.00, 144.95 degrees
Closest atoms and distances in Å follow each position.
Fractional coordinates of all 12 atoms:
B: 0.8333 0.6667 0.2500  4 C 1.68
B: 0.1819 0.3181 0.2500  2 C 1.59
B: 0.3333 0.6667 0.9528  2 C 1.61
B: 0.8333 0.1667 0.5472  2 C 1.61
B: 0.4847 0.0153 0.2500  2 C 1.59
C: 0.1702 0.8414 0.5231  2 C 1.52-1.55, 2 B 1.59-1.68
C: 0.4965 0.4919 0.5231  2 C 1.52-1.55, 2 B 1.59-1.68
C: 0.9881 0.5119 0.7500  2 C 1.52, 2 B 1.61
C: 0.6586 0.3298 0.9769  2 C 1.52-1.55, 2 B 1.59-1.68
C: 0.3333 0.1667 0.7500  4 C 1.55
C: 0.0081 0.0035 0.9769  2 C 1.52-1.55, 2 B 1.59-1.68
C: 0.6786 0.8214 0.7500  2 C 1.52, 2 B 1.61

Values from the calculation:
Its raw total energy is -7.837 eV/atom. The calculation puts the formation energy at 0.33 eV per atom. As for the offset from the most stable computed form: 0.0677 eV/atom.

***

No. 11
Ta6Co5Ir | PBE | optimized geometry

Cell lengths 4.3411, 6.1076, 7.0351 Å; angles 90.05, 107.91, 90.00 degrees
Closest atoms and distances in Å follow each position.
Fractional coordinates of all 12 atoms:
Ir: 0.0000 0.0000 0.0000  8 Ta 2.70-2.78, 4 Co 2.89
Co: 0.6646 0.4998 0.3298  8 Ta 2.64-2.68
Co: 0.3580 0.9994 0.7156  6 Ta 2.49-2.67
Co: 0.0000 0.5000 0.0000  8 Ta 2.61-2.82
Co: 0.6420 0.0006 0.2844  6 Ta 2.49-2.67
Co: 0.3354 0.5002 0.6702  8 Ta 2.64-2.68
Ta: 0.8246 0.7557 0.6490  7 Co 2.65-2.86, 1 Ir 2.78, 2 Ta 2.95
Ta: 0.8245 0.2437 0.6489  7 Co 2.65-2.86, 1 Ir 2.78, 2 Ta 2.95
Ta: 0.4999 0.2631 0.9997  6 Co 2.49-2.64, 2 Ir 2.70
Ta: 0.5001 0.7369 0.0003  6 Co 2.49-2.64, 2 Ir 2.70
Ta: 0.1755 0.7563 0.3511  7 Co 2.65-2.86, 1 Ir 2.78, 2 Ta 2.95
Ta: 0.1754 0.2443 0.3510  7 Co 2.65-2.86, 1 Ir 2.78, 2 Ta 2.95

Values from the calculation:
Its raw total energy is -9.789 eV/atom. The calculation puts the formation energy at -0.16 eV per atom.

***

No. 12
LaAs2 | PBE | optimized geometry

Cell lengths 5.8078, 5.8078, 5.8078 Å; angles 60.00, 60.00, 60.00 degrees
Closest atoms and distances in Å follow each position.
Fractional coordinates of all 6 atoms:
La: 0.5000 0.5000 0.5000  12 As 3.41, 4 La 3.56
La: 0.7500 0.7500 0.7500  12 As 3.41, 4 La 3.56
As: 0.6250 0.1250 0.1250  6 As 2.90
As: 0.1250 0.1250 0.6250  6 As 2.90
As: 0.1250 0.1250 0.1250  6 As 2.90
As: 0.1250 0.6250 0.1250  6 As 2.90

Values from the calculation:
Its raw total energy is -5.318 eV/atom. The calculation puts the formation energy at -0.58 eV per atom.